Entry from Alexandria via LeMat-Bulk: a relaxed TaMnOs2 crystal (PBE).

## Properties
Energy of formation from the pure elements   0.141 eV per atom
Spin magnetization   0.715 μB/atom
Total DFT energy (no corrections)   -10.7297 eV/atom

abc: 6.2055 6.2055 6.2055
angles: 90.00 90.00 90.00
Space group F-43m (No. 216)
Inequivalent atoms, fractional coordinates:
Ta 0.0000 0.0000 0.0000
Mn 0.2500 0.2500 0.7500
Os 0.0000 0.0000 0.5000
Os 0.2500 0.2500 0.2500

***

Entry from Alexandria via LeMat-Bulk: a relaxed Cd2Si2Ni crystal (PBE).

## Properties
ΔE_f (raw)   0.073 eV/atom
Spin magnetization   0.000 μB/atom
Total DFT energy (no corrections)   -3.6185 eV/atom

abc: 6.0333 6.0333 4.7594
angles: 90.00 90.00 90.00
Space group P4/mbm (No. 127)
Inequivalent atoms, fractional coordinates:
Cd 0.1872 0.3128 0.0000
Si 0.1412 0.6412 0.5000
Ni 0.0000 0.0000 0.5000

***

Entry from Alexandria via LeMat-Bulk: a relaxed RbNb2Mo crystal (PBE).

## Properties
Energy of formation from the pure elements   1.559 eV per atom
Excess energy over the best structure of this formula in the dataset   0.0 meV/atom
Spin magnetization   0.000 μB/atom
Total DFT energy (no corrections)   -6.4252 eV/atom

abc: 6.8599 6.8599 6.8599
angles: 90.00 90.00 90.00
Space group Fm-3m (No. 225)
Inequivalent atoms, fractional coordinates:
Rb 0.0000 0.0000 0.0000
Nb 0.2500 0.2500 0.2500
Mo 0.0000 0.0000 0.5000

***

Entry from Alexandria via LeMat-Bulk: a relaxed YTh2Pb crystal (PBE).

## Properties
Energy of formation from the pure elements   0.158 eV per atom
Excess energy over the best structure of this formula in the dataset   368.4 meV/atom
Spin magnetization   0.000 μB/atom
Total DFT energy (no corrections)   -6.0955 eV/atom

abc: 3.4455 3.4455 37.2749
angles: 90.00 90.00 120.00
Space group R-3m (No. 166, hexagonal axes)
Inequivalent atoms, fractional coordinates:
Y 0.0000 0.0000 0.0000
Th 0.0000 0.0000 0.0896
Pb 0.0000 0.0000 0.5000

***

Entry from Alexandria via LeMat-Bulk: a relaxed InTcRu3 crystal (PBE).

## Properties
Energy of formation from the pure elements   1.361 eV per atom
Excess energy over the best structure of this formula in the dataset   0.0 meV/atom
Spin magnetization   0.000 μB/atom
Total DFT energy (no corrections)   -6.8252 eV/atom

abc: 4.6506 4.6506 4.6506
angles: 90.00 90.00 90.00
Space group Pm-3m (No. 221)
Inequivalent atoms, fractional coordinates:
In 0.0000 0.0000 0.0000
Tc 0.5000 0.5000 0.5000
Ru 0.0000 0.5000 0.5000

***

Entry from Alexandria via LeMat-Bulk: a relaxed Ta5Mo2 crystal (PBE).

## Properties
Energy of formation from the pure elements   0.125 eV per atom
Excess energy over the best structure of this formula in the dataset   264.4 meV/atom
Spin magnetization   0.000 μB/atom
Total DFT energy (no corrections)   -11.4355 eV/atom

abc: 14.7186 5.2852 6.4180
angles: 90.00 90.70 90.00
Space group C2/c (No. 15)
Inequivalent atoms, fractional coordinates:
Ta 0.0000 0.1382 0.2500
Ta 0.1418 0.1256 0.5380
Ta 0.2100 0.3786 0.1753
Mo 0.0683 0.3669 0.8900

***

Entry from Alexandria via LeMat-Bulk: a relaxed AcPr2Mg crystal (PBE).

## Properties
Energy of formation from the pure elements   -0.045 eV per atom
Excess energy over the best structure of this formula in the dataset   0.0 meV/atom
Spin magnetization   0.000 μB/atom
Total DFT energy (no corrections)   -3.8601 eV/atom

abc: 3.9018 3.9018 9.2016
angles: 90.00 90.00 90.00
Space group P4/mmm (No. 123)
Inequivalent atoms, fractional coordinates:
Ac 0.0000 0.0000 0.0000
Pr 0.5000 0.5000 0.2857
Mg 0.0000 0.0000 0.5000

***

Entry from Alexandria via LeMat-Bulk: a relaxed YPu2ScS4 crystal (PBE).

## Properties
ΔE_f (raw)   -1.861 eV/atom
Spin magnetization   1.426 μB/atom
Total DFT energy (no corrections)   -9.1068 eV/atom

abc: 6.6979 3.8668 6.7702
angles: 90.00 109.24 90.00
Space group P2/m (No. 10)
Inequivalent atoms, fractional coordinates:
Y 0.0000 0.0000 0.0000
Pu 0.0000 0.5000 0.5000
Pu 0.5000 0.0000 0.5000
Sc 0.5000 0.5000 0.0000
S 0.2550 0.5000 0.2421
S 0.2621 0.0000 0.7635

***

Entry from Alexandria via LeMat-Bulk: a relaxed Dy5PuSe6 crystal (PBE).

## Properties
ΔE_f (raw)   -1.730 eV/atom
Spin magnetization   0.504 μB/atom
Total DFT energy (no corrections)   -6.5844 eV/atom

abc: 7.0586 12.2426 7.0975
angles: 90.00 109.42 90.00
Space group C2/m (No. 12)
Inequivalent atoms, fractional coordinates:
Dy 0.0000 0.0000 0.0000
Dy 0.0000 0.1677 0.5000
Dy 0.0000 0.3332 0.0000
Pu 0.0000 0.5000 0.5000
Se 0.2473 0.0000 0.7510
Se 0.2477 0.1678 0.2477

***

Entry from Alexandria via LeMat-Bulk: a relaxed BaAcPt crystal (PBE).

## Properties
Energy of formation from the pure elements   -0.731 eV per atom
Excess energy over the best structure of this formula in the dataset   69.4 meV/atom
Spin magnetization   0.000 μB/atom
Total DFT energy (no corrections)   -4.7546 eV/atom

abc: 4.5289 4.5289 7.3681
angles: 90.00 90.00 120.00
Space group P3m1 (No. 156)
Inequivalent atoms, fractional coordinates:
Ba 0.0000 0.0000 0.0000
Ac 0.6667 0.3333 0.4518
Pt 0.3333 0.6667 0.2552

***

Entry from Alexandria via LeMat-Bulk: a relaxed Pr3YPd12 crystal (PBE).

## Properties
Energy of formation from the pure elements   -0.765 eV per atom
Spin magnetization   0.000 μB/atom
Total DFT energy (no corrections)   -5.9601 eV/atom

abc: 4.1947 4.1947 16.8487
angles: 90.00 90.00 90.00
Space group P4/mmm (No. 123)
Inequivalent atoms, fractional coordinates:
Pr 0.0000 0.0000 0.0000
Pr 0.0000 0.0000 0.2532
Y 0.0000 0.0000 0.5000
Pd 0.0000 0.5000 0.1262
Pd 0.0000 0.5000 0.3794
Pd 0.5000 0.5000 0.0000
Pd 0.5000 0.5000 0.2522
Pd 0.5000 0.5000 0.5000

***

Entry from Alexandria via LeMat-Bulk: a relaxed K5NpS5 crystal (PBE).

## Properties
ΔE_f (raw)   -1.174 eV/atom
Spin magnetization   0.182 μB/atom
Total DFT energy (no corrections)   -4.7252 eV/atom

abc: 14.5043 5.9133 8.6102
angles: 90.00 108.77 90.00
Space group C2/m (No. 12)
Inequivalent atoms, fractional coordinates:
K 0.0000 0.0000 0.0000
K 0.1763 0.5000 0.3533
K 0.1936 0.5000 0.8120
Np 0.0000 0.0000 0.5000
S 0.0000 0.5000 0.5000
S 0.1299 0.0000 0.3524
S 0.1383 0.0000 0.7862